[1]
4
Lattice="4.2736 0.0000 0.0000 2.1368 3.7011 0.0000 2.1368 1.2337 7.7809" Properties=species:S:1:pos:R:3 comment="KPaAs2, relaxed, DFT PBE" final_energy_ev_per_cell=-23.1 formation_enthalpy_0k_ev_per_fu=-3.20 magnetic_moment_mub_per_fu=0.00 volume_a3_per_atom=30.77 pbc="T T T"
As 2.1368 1.2337 1.4282
As 2.1368 1.2337 6.3094
Pa 6.4104 3.7011 7.7563
K 4.2736 2.4674 3.9583

=====

[2]
10
Lattice="0.0000 4.4535 4.4535 4.4535 0.0000 4.4535 4.4535 4.4535 0.0000" Properties=species:S:1:pos:R:3 comment="K2GaHgF6, relaxed, DFT PBE" final_energy_ev_per_cell=-40.3 formation_energy_uncorrected_mev_per_atom=-2357 magnetic_moment_mub_per_fu=0.00 volume_a3_per_atom=17.67 pbc="T T T"
Hg 4.4535 4.4535 4.4535
F 4.4535 6.9776 4.4535
F 1.9294 4.4535 4.4535
F 6.9776 4.4535 4.4535
F 4.4535 4.4535 1.9294
F 4.4535 1.9294 4.4535
F 4.4535 4.4535 6.9776
K 6.6802 6.6802 6.6802
K 2.2267 2.2267 2.2267
Ga 0.0000 0.0000 0.0000

=====

[3]
4
Lattice="2.6444 0.0000 0.0000 0.0000 3.6739 0.0000 0.0000 0.0000 5.1830" Properties=species:S:1:pos:R:3 comment="Co2TcRh, relaxed, DFT PBE" final_energy_ev_per_cell=-31.7 formation_enthalpy_0k_ev_per_fu=0.19 magnetic_moment_mub_per_fu=2.01 volume_a3_per_atom=12.59 pbc="T T T"
Rh 0.0000 0.0000 2.5693
Co 0.0000 0.0000 0.0478
Co 1.3222 1.8370 1.1986
Tc 1.3222 1.8370 3.9588

=====

[4]
4
Lattice="-1.1262 -0.8733 -4.4074 -2.2355 -3.9081 -1.0886 -4.4330 0.1621 -1.3335" Properties=species:S:1:pos:R:3 comment="NpTaOsRu, relaxed, DFT PBE" final_energy_ev_per_cell=-45.3 formation_enthalpy_0k_ev_per_fu=-0.05 magnetic_moment_mub_per_fu=3.09 volume_a3_per_atom=17.57 pbc="T T T"
Np -1.9487 -1.1548 -1.7074
Ru -3.8973 -2.3096 -3.4148
Ta -5.8460 -3.4644 -5.1221
Os 0.0000 0.0000 0.0000

=====

[5]
5
Lattice="-3.4417 -2.6591 0.0479 2.5493 -3.2763 1.2984 -1.4511 -1.5679 6.1783" Properties=species:S:1:pos:R:3 comment="CaSc2Ir2, relaxed, DFT PBE" final_energy_ev_per_cell=-36.0 formation_enthalpy_0k_ev_per_fu=-3.57 magnetic_moment_mub_per_fu=0.00 volume_a3_per_atom=21.83 pbc="T T T"
Sc 0.3260 -3.9059 4.0749
Sc -2.6695 -3.5973 3.4497
Ca 0.0000 0.0000 0.0000
Ir -1.6743 -4.8461 5.6300
Ir -0.6692 -2.6571 1.8946

=====

[6]
18
Lattice="5.7457 0.0000 0.0000 -2.8729 4.9759 0.0000 0.0000 0.0000 9.0318" Properties=species:S:1:pos:R:3 comment="HoPuAuO6, relaxed, DFT PBE" final_energy_ev_per_cell=-138.9 formation_energy_uncorrected_mev_per_atom=-1944 magnetic_moment_mub_per_fu=0.36 volume_a3_per_atom=14.35 pbc="T T T"
Ho 0.0000 3.3173 2.2580
Ho 2.8729 1.6586 6.7739
O 0.8283 4.8180 7.8460
O 2.0445 0.1579 1.1858
O 1.1590 1.6917 3.3301
O 4.5867 1.6917 1.1858
O -1.7138 3.2843 7.8460
O 1.9874 3.1264 1.1858
O 1.7138 3.2843 5.7017
O -0.8855 1.8496 5.7017
O 0.8855 1.8496 7.8460
O 3.7012 0.1579 3.3301
O -0.8283 4.8180 5.7017
O 3.7584 3.1264 3.3301
Au 0.0000 0.0000 0.0000
Au 0.0000 0.0000 4.5159
Pu 0.0000 3.3173 6.7739
Pu 2.8729 1.6586 2.2580

=====

[7]
5
Lattice="-3.1189 -2.4751 2.7924 3.7140 -1.7875 2.5640 -0.2791 3.7839 3.0422" Properties=species:S:1:pos:R:3 comment="SrIrPdRh2, relaxed, DFT PBE" final_energy_ev_per_cell=-26.0 formation_enthalpy_0k_ev_per_fu=4.49 magnetic_moment_mub_per_fu=2.82 volume_a3_per_atom=22.96 pbc="T T T"
Sr 0.1580 -0.2393 4.1993
Ir 1.8570 -0.8937 1.2820
Rh -0.1395 1.8920 1.5211
Rh -1.5594 -1.2375 1.3962
Pd 0.0000 0.0000 0.0000

=====

[8]
5
Lattice="-0.9433 -5.1125 0.7386 1.3850 0.4730 5.0429 -4.8140 1.0648 1.2223" Properties=species:S:1:pos:R:3 comment="CoSbI2Br, relaxed, DFT PBE" final_energy_ev_per_cell=-14.6 formation_energy_uncorrected_mev_per_atom=277 magnetic_moment_mub_per_fu=1.10 volume_a3_per_atom=28.01 pbc="T T T"
Sb -2.4070 0.5324 0.6111
I 0.6925 0.2365 2.5215
I -0.4716 -2.5563 0.3693
Co 0.0000 0.0000 0.0000
Br -2.1861 -1.7874 3.5019

=====

Q: Which formula does entry 5 have?
A: CaSc2Ir2